Computed, not measured: an optimized crystal structure of SrH6Au3 at the PBE level of DFT.

The volume comes out at 13.04 Å³/atom. As for the space-group type: P2_1, No. 4. The total energy comes out at -0.238 Ry per atom.

CIF file:
```
data_SrH6Au3
_chemical_formula_sum 'Sr2 H12 Au6'
_cell_length_a 5.116
_cell_length_b 4.608
_cell_length_c 13.146
_cell_angle_alpha 90.00
_cell_angle_beta 122.68
_cell_angle_gamma 90.00
_symmetry_space_group_name_H-M 'P 1'
_symmetry_Int_Tables_number 1
loop_
_symmetry_equiv_pos_as_xyz
'x,y,z'
loop_
_atom_site_label
_atom_site_fract_x
_atom_site_fract_y
_atom_site_fract_z
H1 0.362 0.041 0.476
H2 0.337 0.903 0.826
H3 0.783 0.426 0.755
H4 0.163 0.403 0.674
H5 0.827 0.534 0.304
H6 0.202 0.038 0.215
H7 0.138 0.541 0.024
H8 0.735 0.026 0.491
H9 0.298 0.538 0.285
H10 0.673 0.034 0.196
H11 0.717 0.926 0.745
H12 0.765 0.526 0.009
Au1 0.516 0.285 0.254
Au2 0.445 0.530 0.012
Au3 0.984 0.785 0.246
Au4 0.074 0.181 0.786
Au5 0.055 0.030 0.488
Au6 0.426 0.681 0.714
Sr1 0.892 0.037 0.974
Sr2 0.608 0.537 0.526
```

---

Computed, not measured: an optimized crystal structure of Sr6HAu2 at the PBE level of DFT.

The volume comes out at 34.94 Å³/atom. As for the space-group type: P2_1/c, No. 14. The total energy comes out at -0.198 Ry per atom.

CIF file:
```
data_Sr6HAu2
_chemical_formula_sum 'Sr12 H2 Au4'
_cell_length_a 7.225
_cell_length_b 8.225
_cell_length_c 10.587
_cell_angle_alpha 90.00
_cell_angle_beta 91.55
_cell_angle_gamma 90.00
_symmetry_space_group_name_H-M 'P 1'
_symmetry_Int_Tables_number 1
loop_
_symmetry_equiv_pos_as_xyz
'x,y,z'
loop_
_atom_site_label
_atom_site_fract_x
_atom_site_fract_y
_atom_site_fract_z
Sr1 0.178 0.328 0.062
Sr2 0.664 0.180 0.933
Sr3 0.678 0.172 0.562
Sr4 0.859 0.965 0.257
Sr5 0.359 0.535 0.757
Sr6 0.336 0.820 0.067
Sr7 0.322 0.828 0.438
Sr8 0.822 0.672 0.938
Sr9 0.141 0.035 0.743
Sr10 0.641 0.465 0.243
Sr11 0.164 0.320 0.433
Sr12 0.836 0.680 0.567
Au1 0.549 0.882 0.745
Au2 0.451 0.118 0.255
Au3 0.951 0.382 0.755
Au4 0.049 0.618 0.245
H1 0.500 0.500 0.000
H2 0.000 0.000 0.500
```

---

Question: Which value of volume does entry 1 give?
Answer: 13.04 Å³/atom

---

Question: The lowest volume belongs to which entry?
Answer: SrH6Au3

---

Question: Look up the volume of the first one.
Answer: 13.04 Å³/atom

---

Question: Among the records above, which one has the lowest volume?
Answer: SrH6Au3